DFT (PBE) results for NiPIrCl2 after structural relaxation.

Properties
Fermi-level density of states (states/eV/f.u.): 6.65
ΔE_f (raw) (kJ/mol of formula units): 460
Calculated total energy (eV/atom): -3.80

```
data_NiPIrCl2
_cell_length_a 4.3566
_cell_length_b 4.3566
_cell_length_c 4.7697
_cell_angle_alpha 90.00
_cell_angle_beta 90.00
_cell_angle_gamma 90.00
_symmetry_space_group_name_H-M 'P 1'
_symmetry_Int_Tables_number 1
_symmetry_space_group_name_Hall 'P 1'
loop_
_atom_site_label
_atom_site_fract_x
_atom_site_fract_y
_atom_site_fract_z
Ni1 0.0000 0.0000 0.0000
Ir1 0.5000 0.5000 0.5000
P1 0.0000 0.0000 0.5000
Cl1 0.0000 0.5000 0.0000
Cl2 0.5000 0.0000 0.0000
```


DFT (PBE) results for TmSi2Ir4 after structural relaxation.

Properties
Fermi-level density of states (states/eV/f.u.): 4.15
ΔE_f (raw) (kJ/mol of formula units): -533
Calculated total energy (eV/atom): -8.04

```
data_TmSi2Ir4
_cell_length_a 3.8287
_cell_length_b 7.5988
_cell_length_c 7.5988
_cell_angle_alpha 90.00
_cell_angle_beta 90.00
_cell_angle_gamma 90.00
_symmetry_space_group_name_H-M 'P 1'
_symmetry_Int_Tables_number 1
_symmetry_space_group_name_Hall 'P 1'
loop_
_atom_site_label
_atom_site_fract_x
_atom_site_fract_y
_atom_site_fract_z
Tm1 0.5000 0.0000 0.0000
Tm2 0.0000 0.5000 0.5000
Si1 0.0000 0.2294 0.7706
Si2 0.0000 0.7706 0.2294
Si3 0.5000 0.7294 0.7294
Si4 0.5000 0.2706 0.2706
Ir1 0.0000 0.0723 0.3303
Ir2 0.0000 0.9277 0.6697
Ir3 0.5000 0.1697 0.5723
Ir4 0.5000 0.8303 0.4277
Ir5 0.5000 0.4277 0.8303
Ir6 0.5000 0.5723 0.1697
Ir7 0.0000 0.3303 0.0723
Ir8 0.0000 0.6697 0.9277
```


DFT (PBE) results for TcSe after structural relaxation.

Properties
Fermi-level density of states (states/eV/f.u.): 1.88
ΔE_f (raw) (kJ/mol of formula units): 5
Calculated total energy (eV/atom): -6.90

```
data_TcSe
_cell_length_a 3.2534
_cell_length_b 6.4658
_cell_length_c 6.3036
_cell_angle_alpha 90.00
_cell_angle_beta 90.00
_cell_angle_gamma 90.00
_symmetry_space_group_name_H-M 'P 1'
_symmetry_Int_Tables_number 1
_symmetry_space_group_name_Hall 'P 1'
loop_
_atom_site_label
_atom_site_fract_x
_atom_site_fract_y
_atom_site_fract_z
Tc1 0.7500 0.3141 0.0348
Tc2 0.2500 0.8141 0.4652
Tc3 0.7500 0.1859 0.5348
Tc4 0.2500 0.6859 0.9652
Se1 0.7500 0.9446 0.2067
Se2 0.2500 0.4446 0.2933
Se3 0.7500 0.5554 0.7067
Se4 0.2500 0.0554 0.7933
```


DFT (PBE) results for DyNpRu2 after structural relaxation.

Properties
DFT formation energy (meV/atom): -187
Fermi-level density of states (states/eV/f.u.): 3.48
Calculated total energy (eV/atom): -9.21

```
data_DyNpRu2
_cell_length_a 4.7815
_cell_length_b 4.7809
_cell_length_c 4.7815
_cell_angle_alpha 60.01
_cell_angle_beta 60.01
_cell_angle_gamma 60.01
_symmetry_space_group_name_H-M 'P 1'
_symmetry_Int_Tables_number 1
_symmetry_space_group_name_Hall 'P 1'
loop_
_atom_site_label
_atom_site_fract_x
_atom_site_fract_y
_atom_site_fract_z
Np1 0.7500 0.7500 0.7500
Ru1 0.0000 0.0000 0.0000
Ru2 0.5000 0.5000 0.5000
Dy1 0.2500 0.2500 0.2500
```